DFT (GGA-PBE) results for crystalline Rb5Sb2Pt at its relaxed geometry.

The structure belongs to space group R-3m (No. 166, hexagonal axes); the cell edges are 6.1818, 6.1818 and 29.4114 Å and the angles 90.00°, 90.00° and 120.00°. The distinct sites, in fractional coordinates, are Rb at (0.0000, 0.0000, 0.0000), Rb at (0.0000, 0.0000, 0.1390), Rb at (0.0000, 0.0000, 0.2804), Sb at (0.0000, 0.0000, 0.4115) and Pt at (0.0000, 0.0000, 0.5000).

The calculation puts the mass density at 4.43 g/cm³. The calculation puts the raw total energy at -66.1 eV/cell. The total magnetization is 2.99 μB per cell.